LuScTlCo: relaxed, PBE-GGA.

space-group type: No. 216
Fermi-level density of states: 3.2 states/eV/f.u.
ΔH_f (0 K): -0.1437 eV per atom
crystal system: cubic
magnetization: 1.05 μB/cell

Cell lengths 4.898, 4.898, 4.898 Å; angles 60.00, 60.00, 60.00 degrees
Atoms (fractional coordinates):
Lu1 0.000 0.000 0.000
Sc1 0.500 0.500 0.500
Tl1 0.250 0.250 0.250
Co1 0.750 0.750 0.750